## A
VASP calculation (PBE) on crystalline Tb2HoMn at its relaxed geometry.

Geometry as POSCAR:
```
Tb2HoMn
1.0
3.550 0.000 0.000
0.000 3.550 0.000
0.000 0.000 8.611
Mn Tb Ho
1 2 1
Cartesian
1.775 1.775 0.000
0.000 0.000 6.859
0.000 0.000 1.752
1.775 1.775 4.306
```

Properties
- Fermi-level density of states: 5.86 states/eV/f.u.
- Calculated volume: 27.1 A^3/atom
- Magnetic moment: 3.816 Bohr magnetons per cell
- Theoretical density: 8.23 g/cm3
- Symmetry: No. 123


## B
VASP calculation (PBE) on crystalline Tb2HoMn at its relaxed geometry.

Geometry as POSCAR:
```
Tb2HoMn
1.0
3.393 0.000 0.000
1.696 2.938 0.000
1.696 0.979 11.322
Mn Tb Ho
1 2 1
Cartesian
0.000 0.000 0.000
1.696 0.979 8.543
5.089 2.938 2.779
3.393 1.959 5.661
```

Properties
- Fermi-level density of states: 4.45 states/eV/f.u.
- Calculated volume: 28.2 A^3/atom
- Magnetic moment: 3.138 Bohr magnetons per cell
- Theoretical density: 7.91 g/cm3
- Symmetry: No. 166


Name the least stable of them. B.


## A
VASP calculation (PBE) on crystalline HoThMn at its relaxed geometry.

Geometry as POSCAR:
```
HoThMn
1.0
3.564 0.000 0.000
0.000 3.564 0.000
-1.782 -1.782 5.979
Mn Ho Th
1 1 1
Cartesian
1.782 1.782 2.036
0.000 0.000 0.250
0.000 0.000 3.693
```

Properties
- Fermi-level density of states: 6.13 states/eV/f.u.
- Calculated volume: 25.3 A^3/atom
- Magnetic moment: 2.766 Bohr magnetons per cell
- Theoretical density: 9.88 g/cm3
- Symmetry: No. 107


## B
VASP calculation (PBE) on crystalline HoThMn at its relaxed geometry.

Geometry as POSCAR:
```
HoThMn
1.0
6.115 -0.940 -0.580
-3.791 4.866 0.394
-1.575 -1.453 5.596
Mn Ho Th
2 2 2
Cartesian
0.179 0.132 4.690
0.569 2.341 0.720
-3.188 2.082 4.641
3.937 0.391 0.769
0.065 2.777 3.695
0.684 -0.304 1.714
```

Properties
- Fermi-level density of states: 4.04 states/eV/f.u.
- Calculated volume: 23.8 A^3/atom
- Magnetic moment: 0.000 Bohr magnetons per cell
- Theoretical density: 10.50 g/cm3
- Symmetry: No. 2


Name the least stable of them. A.


## A
VASP calculation (PBE) on crystalline HoMnV at its relaxed geometry.

Geometry as POSCAR:
```
HoMnV
1.0
3.739 0.000 0.000
-1.869 3.238 0.000
0.000 0.000 4.673
Mn Ho V
1 1 1
Cartesian
0.000 2.159 2.337
0.000 0.000 4.673
1.869 1.079 2.337
```

Properties
- Fermi-level density of states: 2.55 states/eV/f.u.
- Calculated volume: 18.9 A^3/atom
- Magnetic moment: 0.002 Bohr magnetons per cell
- Theoretical density: 7.95 g/cm3
- Symmetry: No. 187


## B
VASP calculation (PBE) on crystalline HoMnV at its relaxed geometry.

Geometry as POSCAR:
```
HoMnV
1.0
-1.551 -4.013 2.189
3.647 -1.135 -2.951
2.164 3.337 4.058
Ho V Mn
2 2 2
Cartesian
0.080 -3.109 0.575
2.016 -2.038 -1.338
3.074 -2.092 1.938
1.186 0.282 1.358
0.831 -1.625 2.933
3.430 -0.186 0.363
```

Properties
- Fermi-level density of states: 2.97 states/eV/f.u.
- Calculated volume: 18.2 A^3/atom
- Magnetic moment: 0.880 Bohr magnetons per cell
- Theoretical density: 8.26 g/cm3
- Symmetry: No. 69


Name the least stable of them. A.


## A
VASP calculation (PBE) on crystalline YHo2Mn at its relaxed geometry.

Geometry as POSCAR:
```
YHo2Mn
1.0
-2.124 -0.669 -2.656
1.298 -0.495 -3.175
0.541 -10.653 -0.011
Y Mn Ho
1 1 2
Cartesian
-0.143 -5.908 -2.921
0.000 0.000 0.000
-0.099 -2.602 -1.527
-0.186 -9.215 -4.315
```

Properties
- Fermi-level density of states: 4.69 states/eV/f.u.
- Calculated volume: 27.3 A^3/atom
- Magnetic moment: 3.520 Bohr magnetons per cell
- Theoretical density: 7.22 g/cm3
- Symmetry: No. 166


## B
VASP calculation (PBE) on crystalline YHo2Mn at its relaxed geometry.

Geometry as POSCAR:
```
YHo2Mn
1.0
-3.176 -1.297 -0.834
1.542 -2.669 -1.721
0.005 -4.665 7.238
Y Mn Ho
1 1 2
Cartesian
-0.815 -4.316 2.341
-0.817 -1.983 -1.278
0.004 -3.738 5.799
0.001 -0.928 1.439
```

Properties
- Fermi-level density of states: 5.89 states/eV/f.u.
- Calculated volume: 26.8 A^3/atom
- Magnetic moment: 3.627 Bohr magnetons per cell
- Theoretical density: 7.33 g/cm3
- Symmetry: No. 123


Name the least stable of them. A.